(1)
Below is an optimized crystal structure of PuPaV, with properties calculated at the PBE level.

## Properties
Size of the total moment, Bohr magnetons per cell: 3.3
DFT formation energy, kJ/mol of formula units: 40
ΔE to the lowest computed polymorph, eV/f.u.: 0.000
Crystal system: tetragonal
Space-group type: I4mm
Fermi-level density of states, states/eV/f.u.: 6.02

Cell and atoms, written as POSCAR:
```
PuPaV
1.0
-1.758 1.758 4.885
1.758 -1.758 4.885
1.758 1.758 -4.885
Pu Pa V
1 1 1
Direct
0.000 0.000 0.000
0.666 0.666 0.000
0.334 0.334 0.000
```

(2)
Below is an optimized crystal structure of PuPaVZn, with properties calculated at the PBE level.

## Properties
Size of the total moment, Bohr magnetons per cell: 2.3
DFT formation energy, kJ/mol of formula units: 22
Crystal system: cubic
Space-group type: F-43m
Fermi-level density of states, states/eV/f.u.: 4.89

Cell and atoms, written as POSCAR:
```
PuPaVZn
1.0
0.000 3.352 3.352
3.352 0.000 3.352
3.352 3.352 0.000
Pu Pa V Zn
1 1 1 1
Direct
0.000 0.000 0.000
0.750 0.750 0.750
0.500 0.500 0.500
0.250 0.250 0.250
```

(3)
Below is an optimized crystal structure of PuPaW, with properties calculated at the PBE level.

## Properties
Size of the total moment, Bohr magnetons per cell: 11.4
DFT formation energy, kJ/mol of formula units: 83
Crystal system: tetragonal
Space-group type: I4/mmm
Fermi-level density of states, states/eV/f.u.: 5.47

Cell and atoms, written as POSCAR:
```
PuPaW
1.0
-1.679 1.679 11.869
1.679 -1.679 11.869
1.679 1.679 -11.869
Pu Pa W
2 2 2
Direct
0.067 0.067 0.000
0.933 0.933 0.000
0.359 0.359 0.000
0.641 0.641 0.000
0.218 0.218 0.000
0.782 0.782 0.000
```

(4)
Below is an optimized crystal structure of YPu2Pa, with properties calculated at the PBE level.

## Properties
Size of the total moment, Bohr magnetons per cell: 14.2
DFT formation energy, kJ/mol of formula units: 116
ΔE to the lowest computed polymorph, eV/f.u.: 0.727
Crystal system: cubic
Space-group type: Fm-3m
Fermi-level density of states, states/eV/f.u.: 10.90

Cell and atoms, written as POSCAR:
```
YPu2Pa
1.0
0.000 3.791 3.791
3.791 0.000 3.791
3.791 3.791 0.000
Y Pu Pa
1 2 1
Direct
0.000 0.000 0.000
0.250 0.250 0.250
0.750 0.750 0.750
0.500 0.500 0.500
```

DFT formation energy of number 4 (YPu2Pa)? 116 kJ/mol of formula units

Among the records above, which one has the lowest Fermi-level density of states? PuPaVZn